(a)
An optimized crystal structure of ZrMoAu. Source: Alexandria via LeMat-Bulk, functional PBEsol.

```
data_ZrMoAu
_chemical_formula_sum 'Zr1 Mo1 Au1'
_cell_length_a 2.687
_cell_length_b 4.770
_cell_length_c 4.770
_cell_angle_alpha 120.00
_cell_angle_beta 90.00
_cell_angle_gamma 90.00
_space_group_name_H-M_alt 'P 1'
_space_group_IT_number 1
_space_group_name_Hall 'P 1'
loop_
_atom_site_label
_atom_site_type_symbol
_atom_site_fract_x
_atom_site_fract_y
_atom_site_fract_z
Mo1 Mo 0.833 0.667 0.333
Zr1 Zr 0.333 0.333 0.667
Au1 Au 0.834 0.000 0.000
```

## Properties
Size of the total moment = 0.00 μB/f.u.

=====

(b)
An optimized crystal structure of ZrMoAu. Source: Alexandria via LeMat-Bulk, functional PBEsol.

```
data_ZrMoAu
_chemical_formula_sum 'Zr1 Mo1 Au1'
_cell_length_a 3.452
_cell_length_b 3.452
_cell_length_c 5.108
_cell_angle_alpha 109.75
_cell_angle_beta 109.75
_cell_angle_gamma 90.00
_space_group_name_H-M_alt 'P 1'
_space_group_IT_number 1
_space_group_name_Hall 'P 1'
loop_
_atom_site_label
_atom_site_type_symbol
_atom_site_fract_x
_atom_site_fract_y
_atom_site_fract_z
Au1 Au 0.007 0.007 0.015
Mo1 Mo 0.661 0.661 0.322
Zr1 Zr 0.332 0.332 0.664
```

## Properties
Size of the total moment = 0.00 μB/f.u.

=====

(c)
An optimized crystal structure of ZrMoAu. Source: Alexandria via LeMat-Bulk, functional PBEsol.

```
data_ZrMoAu
_chemical_formula_sum 'Zr1 Mo1 Au1'
_cell_length_a 4.449
_cell_length_b 4.449
_cell_length_c 4.449
_cell_angle_alpha 60.00
_cell_angle_beta 60.00
_cell_angle_gamma 60.00
_space_group_name_H-M_alt 'P 1'
_space_group_IT_number 1
_space_group_name_Hall 'P 1'
loop_
_atom_site_label
_atom_site_type_symbol
_atom_site_fract_x
_atom_site_fract_y
_atom_site_fract_z
Mo1 Mo 0.000 0.000 0.000
Zr1 Zr 0.500 0.500 0.500
Au1 Au 0.250 0.250 0.250
```

## Properties
Size of the total moment = 0.03 μB/f.u.

=====

The least stable of them is (c).

=====

(a)
An optimized crystal structure of TcAuN2. Source: Alexandria via LeMat-Bulk, functional PBEsol.

```
data_TcAuN2
_chemical_formula_sum 'Tc2 Au2 N4'
_cell_length_a 4.858
_cell_length_b 4.858
_cell_length_c 5.654
_cell_angle_alpha 115.44
_cell_angle_beta 115.44
_cell_angle_gamma 90.00
_space_group_name_H-M_alt 'P 1'
_space_group_IT_number 1
_space_group_name_Hall 'P 1'
loop_
_atom_site_label
_atom_site_type_symbol
_atom_site_fract_x
_atom_site_fract_y
_atom_site_fract_z
N1 N 0.125 0.191 0.750
Tc1 Tc 0.500 0.500 0.000
N2 N 0.441 0.875 0.250
Tc2 Tc 0.750 0.250 0.500
N3 N 0.625 0.559 0.750
Au1 Au 0.250 0.750 0.500
N4 N 0.809 0.375 0.250
Au2 Au 0.000 0.000 0.000
```

## Properties
Size of the total moment = 0.00 μB/f.u.

=====

(b)
An optimized crystal structure of TcAuN2. Source: Alexandria via LeMat-Bulk, functional PBEsol.

```
data_TcAuN2
_chemical_formula_sum 'Tc1 Au1 N2'
_cell_length_a 2.845
_cell_length_b 2.845
_cell_length_c 6.707
_cell_angle_alpha 77.75
_cell_angle_beta 77.75
_cell_angle_gamma 60.00
_space_group_name_H-M_alt 'P 1'
_space_group_IT_number 1
_space_group_name_Hall 'P 1'
loop_
_atom_site_label
_atom_site_type_symbol
_atom_site_fract_x
_atom_site_fract_y
_atom_site_fract_z
N1 N 0.896 0.896 0.312
N2 N 0.104 0.104 0.688
Au1 Au 0.000 0.000 0.000
Tc1 Tc 0.500 0.500 0.500
```

## Properties
Size of the total moment = 0.00 μB/f.u.

=====

The least stable of them is (a).